Density functional theory data (PBE-GGA) for an optimized crystal structure of RbTlZn.

Properties
**N(E_F)**: 1.96 states/eV/cell
**Density**: 5.190 g/cm³
**Formation energy**: 0.060 eV/atom
**Energy above the most stable polymorph in this dataset**: 2.85 kJ/mol of atoms

a b c (Å): 4.9074 4.9074 5.4494
angles (deg): 90.00 90.00 120.00
Space group P-6m2 (No. 187)
Unique sites:
Rb (0.0000, 0.0000, 0.0000) x1
Tl (0.6667, 0.3333, 0.5000) x1
Zn (0.3333, 0.6667, 0.5000) x1